PBE Cd2Ag5Cl12, optimized geometry; calculated volume = 25.82 Å³ per atom; energy above the lowest structure with this stoichiometry = 7.8 meV per atom; magnetic moment = 0.0 μB/cell; space group = C2/m; E_tot = -2.59 eV per atom; formation energy from raw total energies = -578.9 meV/atom; N(E_F) = 0.593 states/eV/atom
1.0
7.313 0.000 0.000
-3.657 7.158 0.274
0.000 -2.278 9.283
Cd Ag Cl
2 5 12
Direct
0.761 0.000 0.000 Cd
0.239 0.000 0.000 Cd
0.354 0.708 0.664 Ag
0.291 0.582 0.284 Ag
0.000 0.000 0.500 Ag
0.709 0.418 0.716 Ag
0.646 0.292 0.336 Ag
0.949 0.897 0.167 Cl
0.076 0.631 0.829 Cl
0.555 0.631 0.829 Cl
0.137 0.752 0.482 Cl
0.615 0.752 0.482 Cl
0.548 0.097 0.839 Cl
0.452 0.903 0.161 Cl
0.863 0.248 0.518 Cl
0.385 0.248 0.518 Cl
0.924 0.369 0.171 Cl
0.445 0.369 0.171 Cl
0.051 0.103 0.833 Cl

=====

PBE Cd2Ag3Cl8, optimized geometry; calculated volume = 26.05 Å³ per atom; energy above the lowest structure with this stoichiometry = 5.8 meV per atom; magnetic moment = 1.0 μB/cell; space group = C2/m; E_tot = -2.63 eV per atom; formation energy from raw total energies = -691.2 meV/atom; N(E_F) = 0.535 states/eV/atom
1.0
-5.828 2.094 2.893
-6.176 -3.018 -4.014
-4.082 -6.322 2.595
Cd Ag Cl
2 3 8
Direct
0.989 0.253 0.253 Cd
0.011 0.747 0.747 Cd
0.500 0.000 0.000 Ag
0.000 0.256 0.744 Ag
0.000 0.744 0.256 Ag
0.791 0.623 0.623 Cl
0.209 0.377 0.377 Cl
0.784 0.117 0.117 Cl
0.216 0.883 0.883 Cl
0.752 0.624 0.105 Cl
0.752 0.105 0.624 Cl
0.248 0.895 0.376 Cl
0.248 0.376 0.895 Cl

=====

PBE CdAgCl2, optimized geometry; calculated volume = 28.37 Å³ per atom; energy above the lowest structure with this stoichiometry = 159.1 meV per atom; magnetic moment = 0.0 μB/cell; space group = R-3m; E_tot = -2.22 eV per atom; formation energy from raw total energies = -359.8 meV/atom; N(E_F) = 0.580 states/eV/atom
1.0
4.082 -4.337 6.527
2.466 -7.230 4.440
5.889 -5.687 3.324
Cl Ag Cd
2 1 1
Direct
0.906 0.906 0.906 Cl
0.094 0.094 0.094 Cl
0.000 0.000 0.000 Ag
0.500 0.500 0.500 Cd

=====

PBE CdAgCl2, optimized geometry; calculated volume = 26.47 Å³ per atom; energy above the lowest structure with this stoichiometry = 92.1 meV per atom; magnetic moment = 0.0 μB/cell; space group = Imm2; E_tot = -2.29 eV per atom; formation energy from raw total energies = -426.8 meV/atom; N(E_F) = 0.223 states/eV/atom
1.0
5.923 -0.031 0.002
1.164 5.807 -0.002
-2.172 -4.571 3.077
Cl Ag Cd
2 1 1
Direct
0.050 0.050 0.000 Cl
0.699 0.199 0.500 Cl
0.496 0.496 0.000 Ag
0.255 0.755 0.500 Cd